The following is a DFT calculation (PBE-GGA) of crystalline FeSbIr2 at its relaxed geometry.

Structure (POSCAR):
```
FeSbIr2
1.0
-0.210 -2.414 1.534
1.997 0.115 -2.055
6.028 3.313 6.040
Ir Fe Sb
2 1 1
direct
0.000 0.000 0.972 Ir
0.000 0.000 0.528 Ir
0.500 0.500 0.750 Fe
0.500 0.500 0.250 Sb
```

Properties
calculated volume: 66.5 Å³ per cell
symmetry: Cmmm (65)
total magnetic moment: 3.8 Bohr magnetons per cell
ΔE_f (raw): 455.1 meV per atom


The following is a DFT calculation (PBE-GGA) of crystalline NaPmNd2 at its relaxed geometry.

Structure (POSCAR):
```
NaPmNd2
1.0
-2.442 -0.887 -2.492
-3.005 -1.734 0.961
-7.805 10.516 1.306
Nd Na Pm
2 1 1
direct
0.909 0.909 0.274 Nd
0.091 0.091 0.726 Nd
0.000 0.000 0.000 Na
0.500 0.500 0.500 Pm
```

Properties
E_form: 137 meV per atom
calculated volume: 145.9 Å³ per cell
symmetry: R-3m (166)
energy above the most stable polymorph in this dataset: 40 meV/atom
total magnetic moment: 0.0 Bohr magnetons per cell


The following is a DFT calculation (PBE-GGA) of crystalline MgHgSb2 at its relaxed geometry.

Structure (POSCAR):
```
MgHgSb2
1.0
-0.129 -2.252 -2.272
2.499 -1.254 1.562
-6.294 -5.413 5.724
Sb Mg Hg
2 1 1
direct
0.500 0.500 0.283 Sb
0.000 0.000 0.952 Sb
0.500 0.500 0.735 Mg
0.000 0.000 0.530 Hg
```

Properties
calculated volume: 102.8 Å³ per cell
symmetry: Cmm2 (35)
energy above the most stable polymorph in this dataset: 71 meV/atom
total magnetic moment: 0.0 Bohr magnetons per cell
ΔE_f (raw): 28.4 meV per atom